1.
# PBE LiNd2Pb9, relaxed
# - ΔH_f (0 K): -0.2898 eV/atom
data_LiNd2Pb9
_chemical_formula_sum 'Li1 Nd2 Pb9'
_cell_length_a 4.8684
_cell_length_b 4.8684
_cell_length_c 14.8885
_cell_angle_alpha 90.00
_cell_angle_beta 90.00
_cell_angle_gamma 90.00
_symmetry_space_group_name_H-M 'P 4/m m m'
_symmetry_Int_Tables_number 123
_symmetry_space_group_name_Hall '-P 4 2'
loop_
_atom_site_label
_atom_site_fract_x
_atom_site_fract_y
_atom_site_fract_z
Li1 0.0000 0.0000 0.0000
Nd1 0.0000 0.0000 0.3355
Pb1 0.0000 0.5000 0.1587
Pb2 0.0000 0.5000 0.5000
Pb3 0.5000 0.5000 0.0000
Pb4 0.5000 0.5000 0.3272

2.
# PBE LaPr7Er3, relaxed
# - Relative energy among the computed polymorphs: 5.6 meV per atom
# - ΔH_f (0 K): 0.2123 eV/atom
data_LaPr7Er3
_chemical_formula_sum 'La2 Pr14 Er6'
_cell_length_a 11.9090
_cell_length_b 10.2945
_cell_length_c 6.5053
_cell_angle_alpha 90.00
_cell_angle_beta 96.15
_cell_angle_gamma 90.00
_symmetry_space_group_name_H-M 'C 1 2/m 1'
_symmetry_Int_Tables_number 12
_symmetry_space_group_name_Hall '-C 2y'
loop_
_atom_site_label
_atom_site_fract_x
_atom_site_fract_y
_atom_site_fract_z
La1 0.0000 0.0000 0.0000
Pr1 0.0000 0.0000 0.5000
Pr2 0.2338 0.5000 0.7139
Pr3 0.2463 0.3241 0.2407
Er1 0.0000 0.3326 0.5000
Er2 0.0000 0.5000 0.0000

3.
# PBE MoHRu3, relaxed
# - Relative energy among the computed polymorphs: 0.0 meV per atom
data_MoHRu3
_chemical_formula_sum 'Mo1 H1 Ru3'
_cell_length_a 3.9024
_cell_length_b 3.9024
_cell_length_c 3.9024
_cell_angle_alpha 90.00
_cell_angle_beta 90.00
_cell_angle_gamma 90.00
_symmetry_space_group_name_H-M 'P m -3 m'
_symmetry_Int_Tables_number 221
_symmetry_space_group_name_Hall '-P 4 2 3'
loop_
_atom_site_label
_atom_site_fract_x
_atom_site_fract_y
_atom_site_fract_z
Mo1 0.0000 0.0000 0.0000
H1 0.5000 0.5000 0.5000
Ru1 0.0000 0.5000 0.5000

4.
# PBE NaIrCl3, relaxed
# - Relative energy among the computed polymorphs: 1110.5 meV per atom
# - Formation energy from raw total energies: 0.5734 eV per atom
data_NaIrCl3
_chemical_formula_sum 'Na1 Ir1 Cl3'
_cell_length_a 4.9661
_cell_length_b 4.9661
_cell_length_c 4.9661
_cell_angle_alpha 90.00
_cell_angle_beta 90.00
_cell_angle_gamma 90.00
_symmetry_space_group_name_H-M 'P m -3 m'
_symmetry_Int_Tables_number 221
_symmetry_space_group_name_Hall '-P 4 2 3'
loop_
_atom_site_label
_atom_site_fract_x
_atom_site_fract_y
_atom_site_fract_z
Na1 0.0000 0.0000 0.0000
Ir1 0.5000 0.5000 0.5000
Cl1 0.0000 0.0000 0.5000